No. 1
A plane-wave DFT calculation with PBE was carried out for an optimized crystal structure of Tb3Sn5Se12.

Properties
DOS(E_F)	0.346	states/eV per atom
V	2343	Å³/cell
formation energy without anion corrections	-833.8	meV/atom
symmetry	Ia-3d (230)
calculated total energy	-4.620	eV per atom
magnetization	0.00	μB per atom

Geometry as extended XYZ:
```
80
Lattice="-13.611 3.182 3.829 -0.102 -10.771 -9.696 7.478 -4.115 11.713" Properties=species:S:1:pos:R:3 pbc="T T T"
Tb -9.312 -2.167 0.700
Tb -11.051 -5.808 -2.457
Tb -0.507 -9.457 1.485
Tb -0.611 -2.094 4.138
Tb -10.053 0.409 5.067
Tb -3.299 -6.567 -1.696
Tb -2.937 -5.136 7.542
Tb 3.817 -12.113 0.779
Tb -5.624 -9.610 1.709
Tb -5.728 -2.247 4.362
Tb 4.816 -5.896 8.304
Tb 3.076 -9.537 5.146
Sn 0.130 -4.670 -0.229
Sn -0.051 -5.386 -4.848
Sn 0.000 0.000 0.000
Sn -4.195 -2.014 0.476
Sn -3.067 -0.466 7.771
Sn -6.857 -3.794 -2.933
Sn 1.026 -9.224 -2.401
Sn -3.678 -2.560 11.909
Sn -7.468 -5.888 1.204
Sn 0.491 -3.239 9.009
Sn -6.727 -8.465 -3.162
Sn -3.118 -5.852 2.923
Sn -6.805 1.591 1.915
Sn 3.739 -2.057 5.857
Sn 1.232 -5.815 4.642
Sn -2.558 -9.144 -6.063
Sn 3.688 -7.443 1.009
Sn -7.262 -2.480 8.247
Sn -2.041 -9.690 5.370
Sn -6.365 -7.034 6.076
Se -9.498 0.600 2.028
Se -1.414 -6.594 0.734
Se -10.895 -2.002 3.355
Se -6.486 -1.240 1.557
Se -3.012 -8.716 3.107
Se -11.676 -4.026 -0.030
Se -1.424 -9.014 -1.417
Se -0.250 -10.137 -6.899
Se -3.059 -11.122 0.942
Se -8.627 -4.720 -0.871
Se -7.896 -3.854 2.846
Se -10.957 -7.407 -5.082
Se 2.156 -9.634 -0.041
Se -4.314 -3.645 -1.607
Se 1.436 -11.038 -4.286
Se -1.254 -2.597 7.123
Se 0.493 -2.523 1.279
Se -5.522 -6.190 -3.786
Se -9.282 -8.348 -2.476
Se -1.277 -4.379 -2.454
Se 0.784 -12.261 1.261
Se -4.970 -6.715 0.905
Se -8.380 -8.264 1.938
Se -3.749 -4.808 10.511
Se -1.266 -4.989 4.941
Se 2.144 -3.439 3.909
Se -2.487 -6.895 -4.664
Se 3.047 -3.356 8.322
Se -7.020 0.557 4.585
Se -4.959 -7.325 8.301
Se -0.713 -5.514 9.632
Se -4.981 -9.107 -1.277
Se -6.729 -9.180 4.568
Se -7.672 -0.666 10.133
Se -8.392 -2.070 5.888
Se 4.721 -4.297 10.929
Se -1.922 -8.059 7.453
Se -3.177 -0.581 4.904
Se 2.391 -6.984 6.717
Se 1.660 -7.850 3.001
Se -5.986 -1.567 12.746
Se -4.812 -2.690 7.263
Se 0.250 -10.464 4.290
Se 5.440 -7.677 5.877
Se -3.224 -2.988 2.739
Se 4.659 -9.702 2.492
Se -4.821 -5.109 5.112
Se 3.263 -12.304 3.819
```

---

No. 2
A plane-wave DFT calculation with PBE was carried out for an optimized crystal structure of Tb3SnSe6.

Properties
DOS(E_F)	0.384	states/eV per atom
V	556	Å³/cell
formation energy without anion corrections	-1445.5	meV/atom
symmetry	Cmc2_1 (36)
calculated total energy	-5.326	eV per atom
magnetization	0.00	μB per atom

Geometry as extended XYZ:
```
20
Lattice="7.040 0.000 0.000 0.000 9.001 0.011 0.000 -1.998 8.776" Properties=species:S:1:pos:R:3 pbc="T T T"
Tb 3.389 6.770 6.300
Tb 6.909 4.630 8.005
Tb 2.735 2.466 5.219
Tb 6.255 4.537 3.568
Tb 6.909 0.233 2.487
Tb 3.389 2.373 0.782
Sn 0.086 0.205 7.021
Sn 3.606 6.798 1.766
Se 1.287 5.010 5.526
Se 4.807 4.269 6.117
Se 1.563 2.248 7.948
Se 5.083 7.246 3.965
Se 1.374 -1.697 8.536
Se 4.344 0.444 6.830
Se 0.824 6.559 1.957
Se 4.893 8.700 0.251
Se 1.563 -0.243 4.822
Se 5.083 4.755 0.839
Se 1.287 2.734 2.670
Se 4.807 1.992 3.261
```

---

No. 3
A plane-wave DFT calculation with PBE was carried out for an optimized crystal structure of TbSnSe.

Properties
DOS(E_F)	0.012	states/eV per atom
V	192	Å³/cell
formation energy without anion corrections	-1030.6	meV/atom
symmetry	R-3m (166)
calculated total energy	-5.070	eV per atom
magnetization	0.00	μB per atom

Geometry as extended XYZ:
```
6
Lattice="-1.528 4.034 0.590 -0.305 1.646 4.019 10.234 6.134 0.621" Properties=species:S:1:pos:R:3 pbc="T T T"
Tb 1.545 4.869 2.839
Tb 6.857 6.946 2.391
Se 1.021 2.532 1.399
Se 7.381 9.283 3.832
Sn 2.942 7.548 4.206
Sn 5.459 4.267 1.024
```

---

No. 4
A plane-wave DFT calculation with PBE was carried out for an optimized crystal structure of Tb6SnSe4.

Properties
DOS(E_F)	0.904	states/eV per atom
V	574	Å³/cell
formation energy without anion corrections	-1449.2	meV/atom
symmetry	Cmcm (63)
calculated total energy	-5.606	eV per atom
magnetization	0.00	μB per atom

Geometry as extended XYZ:
```
22
Lattice="4.164 0.000 0.000 -2.082 6.638 0.000 0.000 0.000 20.765" Properties=species:S:1:pos:R:3 pbc="T T T"
Tb 2.082 0.000 0.000
Tb 2.082 0.000 10.383
Tb 0.000 0.657 6.979
Tb 2.082 5.981 13.786
Tb 2.082 5.981 17.362
Tb 0.000 0.657 3.403
Tb 2.082 3.573 8.427
Tb 0.000 3.065 12.338
Tb 0.000 3.065 18.810
Tb 2.082 3.573 1.955
Tb 0.000 4.498 5.191
Tb 2.082 2.140 15.574
Sn 2.082 2.228 5.191
Sn 0.000 4.410 15.574
Se 2.082 4.764 11.155
Se 0.000 5.464 2.565
Se 0.000 1.874 9.611
Se 2.082 1.173 18.201
Se 2.082 4.764 19.994
Se 0.000 1.874 0.772
Se 2.082 1.173 12.948
Se 0.000 5.464 7.818
```